(1)
The following is a PBE-GGA calculation of TeRuBr2 after structural relaxation, from Alexandria.

## Properties
Energy relative to the elements, uncorrected ... -0.05 eV per atom
Calculated volume ... 27.13 Å³ per atom
Crystal system ... trigonal
Magnetic moment ... 0.00 μB per formula unit
Calculated density ... 5.9 g cm⁻³

```
data_TeRuBr2
_chemical_formula_sum 'Te3 Ru3 Br6'
_symmetry_space_group_name_H-M 'R 3 m'
_symmetry_Int_Tables_number 160
_symmetry_space_group_name_Hall 'R 3 -2"'
_cell_length_a 3.8659
_cell_length_b 3.8659
_cell_length_c 25.1498
_cell_angle_alpha 90.00
_cell_angle_beta 90.00
_cell_angle_gamma 120.00
loop_
_atom_site_label
_atom_site_type_symbol
_atom_site_fract_x
_atom_site_fract_y
_atom_site_fract_z
_atom_site_occupancy
Te1 Te 0.0000 0.0000 0.0000 1
Ru1 Ru 0.0000 0.0000 0.2846 1
Br1 Br 0.0000 0.0000 0.5566 1
Br2 Br 0.0000 0.0000 0.7566 1
```


(2)
The following is a PBE-GGA calculation of PrYTaN3 after structural relaxation, from Alexandria.

## Properties
Energy relative to the elements, uncorrected ... -1.07 eV per atom
Calculated volume ... 17.76 Å³ per atom
Crystal system ... monoclinic
Magnetic moment ... 0.00 μB per formula unit
Calculated density ... 7.1 g cm⁻³

```
data_PrYTaN3
_chemical_formula_sum 'Pr2 Y2 Ta2 N6'
_symmetry_space_group_name_H-M 'P 1 21/m 1'
_symmetry_Int_Tables_number 11
_symmetry_space_group_name_Hall '-P 2yb'
_cell_length_a 6.607
_cell_length_b 3.381
_cell_length_c 9.590
_cell_angle_alpha 90.00
_cell_angle_beta 95.90
_cell_angle_gamma 90.00
loop_
_atom_site_label
_atom_site_type_symbol
_atom_site_fract_x
_atom_site_fract_y
_atom_site_fract_z
_atom_site_occupancy
Pr1 Pr 0.211 0.250 0.247 1
Y1 Y 0.336 0.750 0.886 1
Ta1 Ta 0.140 0.250 0.581 1
N1 N 0.108 0.250 0.783 1
N2 N 0.198 0.750 0.473 1
N3 N 0.402 0.750 0.124 1
```


(3)
The following is a PBE-GGA calculation of Pr4NdHo3Se8 after structural relaxation, from Alexandria.

## Properties
Energy relative to the elements, uncorrected ... -1.80 eV per atom
Calculated volume ... 25.93 Å³ per atom
Crystal system ... trigonal
Magnetic moment ... 0.00 μB per formula unit
Calculated density ... 7.3 g cm⁻³

```
data_Pr4NdHo3Se8
_chemical_formula_sum 'Pr12 Nd3 Ho9 Se24'
_symmetry_space_group_name_H-M 'R -3 m'
_symmetry_Int_Tables_number 166
_symmetry_space_group_name_Hall '-R 3 2"'
_cell_length_a 8.2860
_cell_length_b 8.2860
_cell_length_c 20.9281
_cell_angle_alpha 90.00
_cell_angle_beta 90.00
_cell_angle_gamma 120.00
loop_
_atom_site_label
_atom_site_type_symbol
_atom_site_fract_x
_atom_site_fract_y
_atom_site_fract_z
_atom_site_occupancy
Pr1 Pr 0.0000 0.0000 0.0000 1
Pr2 Pr 0.0000 0.5000 0.0000 1
Nd1 Nd 0.0000 0.0000 0.5000 1
Ho1 Ho 0.0000 0.5000 0.5000 1
Se1 Se 0.0000 0.0000 0.2433 1
Se2 Se 0.0076 0.5038 0.7550 1
```


(4)
The following is a PBE-GGA calculation of MgCd3Au after structural relaxation, from Alexandria.

## Properties
Calculated volume ... 29.63 Å³ per atom
Crystal system ... cubic
Calculated formation energy ... 0.81 eV/f.u.
Magnetic moment ... 0.00 μB per formula unit
Calculated density ... 6.3 g cm⁻³

```
data_MgCd3Au
_chemical_formula_sum 'Mg1 Cd3 Au1'
_symmetry_space_group_name_H-M 'P m -3 m'
_symmetry_Int_Tables_number 221
_symmetry_space_group_name_Hall '-P 4 2 3'
_cell_length_a 5.291
_cell_length_b 5.291
_cell_length_c 5.291
_cell_angle_alpha 90.00
_cell_angle_beta 90.00
_cell_angle_gamma 90.00
loop_
_atom_site_label
_atom_site_type_symbol
_atom_site_fract_x
_atom_site_fract_y
_atom_site_fract_z
_atom_site_occupancy
Mg1 Mg 0.000 0.000 0.000 1
Cd1 Cd 0.000 0.500 0.500 1
Au1 Au 0.500 0.500 0.500 1
```


(5)
The following is a PBE-GGA calculation of Hf2Ti4Tl after structural relaxation, from Alexandria.

## Properties
Calculated volume ... 19.48 Å³ per atom
Crystal system ... monoclinic
Calculated formation energy ... 0.90 eV/f.u.
Magnetic moment ... 0.54 μB per formula unit
Calculated density ... 9.2 g cm⁻³

```
data_Hf2Ti4Tl
_chemical_formula_sum 'Hf8 Ti16 Tl4'
_symmetry_space_group_name_H-M 'C 1 2/c 1'
_symmetry_Int_Tables_number 15
_symmetry_space_group_name_Hall '-C 2yc'
_cell_length_a 9.728
_cell_length_b 5.519
_cell_length_c 11.092
_cell_angle_alpha 90.00
_cell_angle_beta 113.64
_cell_angle_gamma 90.00
loop_
_atom_site_label
_atom_site_type_symbol
_atom_site_fract_x
_atom_site_fract_y
_atom_site_fract_z
_atom_site_occupancy
Hf1 Hf 0.174 0.012 0.007 1
Ti1 Ti 0.000 0.191 0.250 1
Ti2 Ti 0.000 0.316 0.750 1
Ti3 Ti 0.242 0.126 0.772 1
Tl1 Tl 0.000 0.500 0.000 1
```


(6)
The following is a PBE-GGA calculation of ZrTa3Ag after structural relaxation, from Alexandria.

## Properties
Calculated volume ... 23.55 Å³ per atom
Crystal system ... cubic
Calculated formation energy ... 9.90 eV/f.u.
Magnetic moment ... 0.00 μB per formula unit
Calculated density ... 10.5 g cm⁻³

```
data_ZrTa3Ag
_chemical_formula_sum 'Zr1 Ta3 Ag1'
_symmetry_space_group_name_H-M 'P m -3 m'
_symmetry_Int_Tables_number 221
_symmetry_space_group_name_Hall '-P 4 2 3'
_cell_length_a 4.902
_cell_length_b 4.902
_cell_length_c 4.902
_cell_angle_alpha 90.00
_cell_angle_beta 90.00
_cell_angle_gamma 90.00
loop_
_atom_site_label
_atom_site_type_symbol
_atom_site_fract_x
_atom_site_fract_y
_atom_site_fract_z
_atom_site_occupancy
Zr1 Zr 0.000 0.000 0.000 1
Ta1 Ta 0.000 0.000 0.500 1
Ag1 Ag 0.500 0.500 0.500 1
```


no.,VASP energy (eV per formula unit)
1,-15.953
2,-54.506
3,-94.244
4,-6.806
5,-52.954
6,-37.057